{
  "formula": "PaCoSb2O8",
  "functional": "PBE+U",
  "state": "optimized geometry",
  "lattice_angstrom": [[3.472, -3.563, 0.000], [3.472, 3.563, 0.000], [0.000, 0.000, 6.500]],
  "species": ["Pa", "Co", "Sb", "Sb", "O", "O", "O", "O", "O", "O", "O", "O"],
  "frac_coords": [[0.000, 0.000, 0.000], [0.000, 0.000, 0.500], [0.500, 0.500, 0.261], [0.500, 0.500, 0.739], [0.202, 0.202, 0.250], [0.202, 0.202, 0.750], [0.310, 0.690, 0.500], [0.320, 0.680, 0.000], [0.680, 0.320, 0.000], [0.690, 0.310, 0.500], [0.798, 0.798, 0.250], [0.798, 0.798, 0.750]],
  "total_magnetization_mub_per_cell": 2.8,
  "e_tot_ev_per_atom": -7.123
}